1.
# GGA-PBE ZrPaNbTc, optimized geometry
# * formation energy: -126 meV per atom
data_ZrPaNbTc
_chemical_formula_sum 'Zr4 Pa4 Nb4 Tc4'
_symmetry_space_group_name_H-M 'F -4 3 m'
_symmetry_Int_Tables_number 216
_symmetry_space_group_name_Hall 'F -4 2 3'
_cell_length_a 6.822
_cell_length_b 6.822
_cell_length_c 6.822
_cell_angle_alpha 90.00
_cell_angle_beta 90.00
_cell_angle_gamma 90.00
loop_
_atom_site_label
_atom_site_type_symbol
_atom_site_fract_x
_atom_site_fract_y
_atom_site_fract_z
Zr1 Zr 0.000 0.000 0.000
Pa1 Pa 0.000 0.000 0.500
Nb1 Nb 0.250 0.250 0.250
Tc1 Tc 0.250 0.250 0.750

---

2.
# GGA-PBE PaNbTe3, optimized geometry
# * relative energy among the computed polymorphs: 0.012 eV/atom
# * formation energy without anion corrections: -0.665 eV per atom
data_PaNbTe3
_chemical_formula_sum 'Pa4 Nb4 Te12'
_symmetry_space_group_name_H-M 'C 1 2/m 1'
_symmetry_Int_Tables_number 12
_symmetry_space_group_name_Hall '-C 2y'
_cell_length_a 15.317
_cell_length_b 3.881
_cell_length_c 11.076
_cell_angle_alpha 90.00
_cell_angle_beta 124.73
_cell_angle_gamma 90.00
loop_
_atom_site_label
_atom_site_type_symbol
_atom_site_fract_x
_atom_site_fract_y
_atom_site_fract_z
Pa1 Pa 0.084 0.000 0.419
Nb1 Nb 0.248 0.500 0.103
Te1 Te 0.090 0.000 0.942
Te2 Te 0.109 0.500 0.668
Te3 Te 0.175 0.500 0.302